Record 1
Entry from Alexandria: Rb3HBr3 after structural relaxation (PBE-GGA).

Computed properties:
As for the crystal system: monoclinic.

Unit cell a=8.6438 b=15.1818 c=8.9171 alpha=90.00 beta=90.55 gamma=90.00
Space group C2/m (No. 12)
One atom of each set of equivalent atoms:
Rb1 0.0935 0.0000 0.2561
Rb2 0.1883 0.3120 0.2484
H1 0.2307 0.5000 0.2757
Br1 0.0000 0.1693 0.0000
Br2 0.0000 0.1740 0.5000
Br3 0.0153 0.5000 0.7515



Record 2
Entry from Alexandria: Rb2HBr3 after structural relaxation (PBE-GGA).

Computed properties:
As for the crystal system: monoclinic.

Unit cell a=11.6957 b=8.9370 c=9.3705 alpha=90.00 beta=119.00 gamma=90.00
Space group C2/c (No. 15)
One atom of each set of equivalent atoms:
Rb1 0.1524 0.1993 0.1471
H1 0.0000 0.4682 0.2500
Br1 0.0000 0.0793 0.7500
Br2 0.1447 0.4586 0.4290



Record 3
Entry from Alexandria: Rb2H2Br after structural relaxation (PBE-GGA).

Computed properties:
Its energy above the most stable polymorph in this dataset is 0.0 meV/atom. As for the crystal system: monoclinic.

Unit cell a=8.7558 b=5.2894 c=8.3508 alpha=90.00 beta=99.87 gamma=90.00
Space group C2/m (No. 12)
One atom of each set of equivalent atoms:
Rb1 0.1995 0.0000 0.2317
H1 0.0000 0.4268 0.5000
Br1 0.0000 0.5000 0.0000



Record 4
Entry from Alexandria: RbHBr2 after structural relaxation (PBE-GGA).

Computed properties:
Its energy above the most stable polymorph in this dataset is 27.6 meV/atom. As for the crystal system: monoclinic.

Unit cell a=6.7827 b=6.1791 c=16.8259 alpha=90.00 beta=100.06 gamma=90.00
Space group P2/c (No. 13)
One atom of each set of equivalent atoms:
Rb1 0.1823 0.2345 0.1242
H1 0.1959 0.0743 0.8721
Br1 0.0626 0.2653 0.9148
Br2 0.3065 0.1408 0.3332



Record 5
Entry from Alexandria: Rb4H12Br after structural relaxation (PBE-GGA).

Computed properties:
As for the crystal system: cubic.

Unit cell a=9.4933 b=9.4933 c=9.4933 alpha=90.00 beta=90.00 gamma=90.00
Space group Im-3 (No. 204)
One atom of each set of equivalent atoms:
Rb1 0.2500 0.2500 0.2500
H1 0.0000 0.4592 0.1293
Br1 0.0000 0.0000 0.0000



Record 6
Entry from Alexandria: Rb2HBr7 after structural relaxation (PBE-GGA).

Computed properties:
As for the crystal system: tetragonal.

Unit cell a=7.5010 b=7.5010 c=11.5302 alpha=90.00 beta=90.00 gamma=90.00
Space group I4/mmm (No. 139)
One atom of each set of equivalent atoms:
Rb1 0.0000 0.5000 0.2500
H1 0.0000 0.0000 0.0000
Br1 0.0000 0.0000 0.2783
Br2 0.0000 0.0000 0.5000
Br3 0.2118 0.2118 0.0000



Record 7
Entry from Alexandria: Rb4H3Br after structural relaxation (PBE-GGA).

Computed properties:
As for the crystal system: orthorhombic.

Unit cell a=4.4046 b=6.4986 c=8.9979 alpha=90.00 beta=90.00 gamma=90.00
Space group Pmmm (No. 47)
One atom of each set of equivalent atoms:
Rb1 0.0000 0.0000 0.0000
Rb2 0.0000 0.0000 0.5000
Rb3 0.5000 0.5000 0.2177
H1 0.0000 0.5000 0.0000
H2 0.5000 0.0000 0.2363
Br1 0.0000 0.5000 0.5000



Record 8
Entry from Alexandria: Rb4H5Br after structural relaxation (PBE-GGA).

Computed properties:
As for the crystal system: orthorhombic.

Unit cell a=11.1178 b=11.5618 c=4.9728 alpha=90.00 beta=90.00 gamma=90.00
Space group Pmmn (No. 59, origin choice 2)
One atom of each set of equivalent atoms:
Rb1 0.0283 0.2500 0.0008
Rb2 0.2500 0.5593 0.4997
H1 0.0000 0.0000 0.0805
H2 0.2500 0.7500 0.9993
Br1 0.2500 0.2500 0.5008



So what do the calculations give for uncorrected energy? Going down the list: -2.748, -2.954, -2.682, -2.906, -2.783, -2.154, -2.484, -2.505 eV per atom.